No. 1
# Al3Pd2Pt8

Al3Pd2Pt8 after structural relaxation (PBE, the Alexandria database).

The structure belongs to space group Cmmm (No. 65); the cell edges are 7.2545, 14.2358 and 4.2143 Å and the angles 90.00°, 90.00° and 90.00°. Symmetry generates all atoms from Al at (0.0000, 0.0000, 0.0000), Al at (0.2092, 0.5000, 0.5000), Pd at (0.0000, 0.2375, 0.0000), Pt at (0.0000, 0.1089, 0.5000), Pt at (0.0000, 0.3600, 0.5000) and Pt at (0.2258, 0.3921, 0.0000).

The uncorrected energy comes out at -5.81 eV/atom.

=====

No. 2
# Al2PdPt8

Al2PdPt8 after structural relaxation (PBE, the Alexandria database).

The structure belongs to space group C2/m (No. 12); the cell edges are 14.1129, 3.9505 and 6.3133 Å and the angles 90.00°, 107.32° and 90.00°. Symmetry generates all atoms from Al at (0.2230, 0.0000, 0.1538), Pd at (0.0000, 0.5000, 0.5000), Pt at (0.0472, 0.0000, 0.2269), Pt at (0.1003, 0.5000, 0.9661), Pt at (0.1499, 0.0000, 0.7171) and Pt at (0.1800, 0.5000, 0.4241).

The uncorrected energy comes out at -6.03 eV/atom.

=====

No. 3
# Al4Pd4Pt5

Al4Pd4Pt5 after structural relaxation (PBE, the Alexandria database).

The structure belongs to space group I4/m (No. 87); the cell edges are 9.7615, 9.7615 and 4.0827 Å and the angles 90.00°, 90.00° and 90.00°. Symmetry generates all atoms from Al at (0.1191, 0.7619, 0.0000), Pd at (0.1018, 0.3870, 0.0000), Pt at (0.0000, 0.0000, 0.0000) and Pt at (0.0899, 0.1840, 0.5000).

The uncorrected energy comes out at -5.86 eV/atom.

=====

No. 4
# Al2Pd6Pt

Al2Pd6Pt after structural relaxation (PBE, the Alexandria database).

The structure belongs to space group C2/m (No. 12); the cell edges are 7.4667, 4.7058 and 8.0713 Å and the angles 90.00°, 102.63° and 90.00°. Symmetry generates all atoms from Al at (0.1820, 0.0000, 0.4156), Pd at (0.0281, 0.5000, 0.3437), Pd at (0.1505, 0.0000, 0.7505), Pd at (0.1742, 0.0000, 0.1078) and Pt at (0.0000, 0.5000, 0.0000).

As for the relative energy among the computed polymorphs: 0.78 eV per formula unit.